(1)
{"formula": "MgBe2Pb", "functional": "PBE", "state": "optimized geometry", "lattice_angstrom": [[3.290, 0.000, 0.000], [0.000, 4.002, 0.000], [0.000, 0.000, 5.514]], "species": ["Mg", "Be", "Be", "Pb"], "fractional_positions": [[0.000, 0.000, 0.000], [0.500, 0.500, 0.191], [0.500, 0.500, 0.809], [0.500, 0.000, 0.500]], "rho_kg_m3": 5707, "relative_energy_ev_per_atom": 0.209, "volume_a3_per_fu": 73, "dos_ef_per_ev_fu": 1.1, "final_energy_ev_per_cell": -10.771, "ef_ev_per_atom": 0.50}



(2)
{"formula": "MgBePb", "functional": "PBE", "state": "optimized geometry", "lattice_angstrom": [[4.296, 0.000, 0.000], [-2.148, 3.721, 0.000], [0.000, 0.000, 3.937]], "species": ["Mg", "Be", "Pb"], "fractional_positions": [[0.000, 0.000, 0.000], [0.333, 0.667, 0.507], [0.667, 0.333, 0.500]], "rho_kg_m3": 6345, "volume_a3_per_fu": 63, "dos_ef_per_ev_fu": 1.1, "final_energy_ev_per_cell": -7.914, "ef_ev_per_atom": 0.37}



(3)
{"formula": "MgBe2Pb", "functional": "PBE", "state": "optimized geometry", "lattice_angstrom": [[3.053, 0.000, 0.000], [0.000, 3.132, 0.000], [0.000, 0.000, 7.430]], "species": ["Mg", "Be", "Be", "Pb"], "fractional_positions": [[0.000, 0.000, 0.000], [0.000, 0.000, 0.651], [0.500, 0.500, 0.759], [0.500, 0.500, 0.362]], "rho_kg_m3": 5832, "relative_energy_ev_per_atom": 0.168, "volume_a3_per_fu": 71, "dos_ef_per_ev_fu": 1.5, "final_energy_ev_per_cell": -10.937, "ef_ev_per_atom": 0.45}



(4)
{"formula": "Mg2Be2Pb", "functional": "PBE", "state": "optimized geometry", "lattice_angstrom": [[6.526, 0.000, 0.000], [0.000, 6.526, 0.000], [0.000, 0.000, 4.189]], "species": ["Mg", "Mg", "Mg", "Mg", "Be", "Be", "Be", "Be", "Pb", "Pb"], "fractional_positions": [[0.162, 0.338, 0.000], [0.338, 0.838, 0.000], [0.662, 0.162, 0.000], [0.838, 0.662, 0.000], [0.115, 0.615, 0.500], [0.385, 0.115, 0.500], [0.615, 0.885, 0.500], [0.885, 0.385, 0.500], [0.000, 0.000, 0.500], [0.500, 0.500, 0.500]], "rho_kg_m3": 5098, "volume_a3_per_fu": 89, "dos_ef_per_ev_fu": 1.4, "final_energy_ev_per_cell": -25.984, "ef_ev_per_atom": 0.27}



(5)
{"formula": "MgBe2Pb", "functional": "PBE", "state": "optimized geometry", "lattice_angstrom": [[8.688, 0.000, 0.000], [0.000, 3.353, 0.000], [-0.808, 0.000, 5.056]], "species": ["Mg", "Mg", "Be", "Be", "Be", "Be", "Pb", "Pb"], "fractional_positions": [[0.000, 0.000, 0.000], [0.500, 0.500, 0.000], [0.234, 0.500, 0.140], [0.266, 0.000, 0.860], [0.734, 0.000, 0.140], [0.766, 0.500, 0.860], [0.000, 0.500, 0.500], [0.500, 0.000, 0.500]], "rho_kg_m3": 5626, "relative_energy_ev_per_atom": 0.262, "volume_a3_per_fu": 74, "dos_ef_per_ev_fu": 2.1, "final_energy_ev_per_cell": -21.119, "ef_ev_per_atom": 0.55}



(6)
{"formula": "MgBe2Pb", "functional": "PBE", "state": "optimized geometry", "lattice_angstrom": [[6.588, 0.000, 0.000], [0.000, 6.588, 0.000], [0.000, 0.000, 6.588]], "species": ["Mg", "Mg", "Mg", "Mg", "Be", "Be", "Be", "Be", "Be", "Be", "Be", "Be", "Pb", "Pb", "Pb", "Pb"], "fractional_positions": [[0.000, 0.000, 0.000], [0.000, 0.500, 0.500], [0.500, 0.000, 0.500], [0.500, 0.500, 0.000], [0.000, 0.000, 0.500], [0.000, 0.500, 0.000], [0.250, 0.250, 0.750], [0.250, 0.750, 0.250], [0.500, 0.000, 0.000], [0.500, 0.500, 0.500], [0.750, 0.250, 0.250], [0.750, 0.750, 0.750], [0.250, 0.250, 0.250], [0.250, 0.750, 0.750], [0.750, 0.250, 0.750], [0.750, 0.750, 0.250]], "rho_kg_m3": 5796, "relative_energy_ev_per_atom": 0.413, "volume_a3_per_fu": 71, "dos_ef_per_ev_fu": 1.1, "final_energy_ev_per_cell": -39.820, "ef_ev_per_atom": 0.70}



(7)
{"formula": "MgBe2Pb", "functional": "PBE", "state": "optimized geometry", "lattice_angstrom": [[5.928, 0.000, 0.000], [0.000, 3.450, 0.000], [-2.001, 0.000, 7.534]], "species": ["Mg", "Mg", "Be", "Be", "Be", "Be", "Pb", "Pb"], "fractional_positions": [[0.000, 0.000, 0.000], [0.500, 0.500, 0.000], [0.246, 0.000, 0.743], [0.254, 0.500, 0.257], [0.746, 0.500, 0.743], [0.754, 0.000, 0.257], [0.000, 0.500, 0.500], [0.500, 0.000, 0.500]], "rho_kg_m3": 5378, "relative_energy_ev_per_atom": 0.451, "volume_a3_per_fu": 77, "dos_ef_per_ev_fu": 1.3, "final_energy_ev_per_cell": -19.610, "ef_ev_per_atom": 0.74}



(8)
{"formula": "MgBePb2", "functional": "PBE", "state": "optimized geometry", "lattice_angstrom": [[4.391, 0.000, 0.000], [0.000, 4.391, 0.000], [0.000, 0.000, 9.884]], "species": ["Mg", "Mg", "Be", "Be", "Pb", "Pb", "Pb", "Pb"], "fractional_positions": [[0.000, 0.000, 0.000], [0.500, 0.500, 0.500], [0.000, 0.500, 0.250], [0.500, 0.000, 0.750], [0.000, 0.000, 0.500], [0.000, 0.500, 0.750], [0.500, 0.000, 0.250], [0.500, 0.500, 0.000]], "rho_kg_m3": 7803, "relative_energy_ev_per_atom": 0.099, "volume_a3_per_fu": 95, "dos_ef_per_ev_fu": 1.7, "final_energy_ev_per_cell": -22.140, "ef_ev_per_atom": 0.42}



(9)
{"formula": "MgBePb2", "functional": "PBE", "state": "optimized geometry", "lattice_angstrom": [[6.670, 0.000, 0.000], [0.000, 8.192, 0.000], [-0.014, 0.000, 3.455]], "species": ["Mg", "Mg", "Be", "Be", "Pb", "Pb", "Pb", "Pb"], "fractional_positions": [[0.000, 0.000, 0.000], [0.500, 0.500, 0.000], [0.000, 0.500, 0.000], [0.500, 0.000, 0.000], [0.250, 0.250, 0.500], [0.250, 0.750, 0.500], [0.750, 0.250, 0.500], [0.750, 0.750, 0.500]], "rho_kg_m3": 7877, "relative_energy_ev_per_atom": 0.097, "volume_a3_per_fu": 94, "dos_ef_per_ev_fu": 1.4, "final_energy_ev_per_cell": -22.157, "ef_ev_per_atom": 0.41}



(10)
{"formula": "MgBePb2", "functional": "PBE", "state": "optimized geometry", "lattice_angstrom": [[7.378, 0.000, 0.000], [0.000, 7.378, 0.000], [0.000, 0.000, 7.378]], "species": ["Mg", "Mg", "Mg", "Mg", "Be", "Be", "Be", "Be", "Pb", "Pb", "Pb", "Pb", "Pb", "Pb", "Pb", "Pb"], "fractional_positions": [[0.000, 0.000, 0.000], [0.000, 0.500, 0.500], [0.500, 0.000, 0.500], [0.500, 0.500, 0.000], [0.250, 0.250, 0.750], [0.250, 0.750, 0.250], [0.750, 0.250, 0.250], [0.750, 0.750, 0.750], [0.000, 0.000, 0.500], [0.000, 0.500, 0.000], [0.250, 0.250, 0.250], [0.250, 0.750, 0.750], [0.500, 0.000, 0.000], [0.500, 0.500, 0.500], [0.750, 0.250, 0.750], [0.750, 0.750, 0.250]], "rho_kg_m3": 7404, "relative_energy_ev_per_atom": 0.172, "volume_a3_per_fu": 100, "dos_ef_per_ev_fu": 0.7, "final_energy_ev_per_cell": -43.099, "ef_ev_per_atom": 0.49}



(11)
{"formula": "MgBe2Pb", "functional": "PBE", "state": "optimized geometry", "lattice_angstrom": [[4.311, 0.000, 0.000], [0.000, 4.311, 0.000], [0.000, 0.000, 17.623]], "species": ["Mg", "Mg", "Mg", "Mg", "Be", "Be", "Be", "Be", "Be", "Be", "Be", "Be", "Pb", "Pb", "Pb", "Pb"], "fractional_positions": [[0.000, 0.000, 0.000], [0.000, 0.500, 0.250], [0.500, 0.000, 0.750], [0.500, 0.500, 0.500], [0.003, 0.750, 0.125], [0.250, 0.003, 0.875], [0.250, 0.497, 0.375], [0.497, 0.750, 0.625], [0.503, 0.250, 0.625], [0.750, 0.503, 0.375], [0.750, 0.997, 0.875], [0.997, 0.250, 0.125], [0.000, 0.000, 0.500], [0.000, 0.500, 0.750], [0.500, 0.000, 0.250], [0.500, 0.500, 0.000]], "rho_kg_m3": 5062, "relative_energy_ev_per_atom": 0.346, "volume_a3_per_fu": 82, "dos_ef_per_ev_fu": 2.0, "final_energy_ev_per_cell": -40.900, "ef_ev_per_atom": 0.63}



(12)
{"formula": "MgBe2Pb", "functional": "PBE", "state": "optimized geometry", "lattice_angstrom": [[6.607, 0.000, 0.000], [0.000, 3.814, 0.000], [-0.014, 0.000, 6.139]], "species": ["Mg", "Mg", "Be", "Be", "Be", "Be", "Pb", "Pb"], "fractional_positions": [[0.000, 0.000, 0.000], [0.500, 0.500, 0.000], [0.167, 0.500, 0.246], [0.334, 0.000, 0.246], [0.667, 0.000, 0.246], [0.834, 0.500, 0.246], [0.002, 0.000, 0.513], [0.502, 0.500, 0.513]], "rho_kg_m3": 5357, "relative_energy_ev_per_atom": 0.000, "volume_a3_per_fu": 77, "dos_ef_per_ev_fu": 1.1, "final_energy_ev_per_cell": -23.216, "ef_ev_per_atom": 0.29}



(13)
{"formula": "MgBePb2", "functional": "PBE", "state": "optimized geometry", "lattice_angstrom": [[9.519, 0.000, 0.000], [0.000, 3.432, 0.000], [-2.604, 0.000, 6.131]], "species": ["Mg", "Mg", "Be", "Be", "Pb", "Pb", "Pb", "Pb"], "fractional_positions": [[0.000, 0.000, 0.000], [0.500, 0.500, 0.000], [0.286, 0.000, 0.006], [0.786, 0.500, 0.006], [0.131, 0.500, 0.669], [0.309, 0.500, 0.335], [0.631, 0.000, 0.669], [0.809, 0.000, 0.335]], "rho_kg_m3": 7423, "relative_energy_ev_per_atom": 0.001, "volume_a3_per_fu": 100, "dos_ef_per_ev_fu": 2.3, "final_energy_ev_per_cell": -22.922, "ef_ev_per_atom": 0.32}



(14)
{"formula": "MgBePb2", "functional": "PBE", "state": "optimized geometry", "lattice_angstrom": [[3.550, 0.000, 0.000], [0.000, 4.124, 0.000], [-1.678, 0.000, 6.530]], "species": ["Mg", "Be", "Pb", "Pb"], "fractional_positions": [[0.000, 0.000, 0.000], [0.500, 0.000, 0.500], [0.340, 0.500, 0.726], [0.660, 0.500, 0.274]], "rho_kg_m3": 7775, "relative_energy_ev_per_atom": 0.046, "volume_a3_per_fu": 96, "dos_ef_per_ev_fu": 1.7, "final_energy_ev_per_cell": -11.279, "ef_ev_per_atom": 0.36}